This record from Alexandria describes an optimized crystal structure of Ba2BiPd3Au12. The functional is PBE.

Output
D(E_F), states/eV per cell: 5.19
DFT total energy, eV/atom: -3.5448
Energy of formation from the pure elements, eV per atom: -0.065

Cell lengths 10.593, 10.593, 10.593 Å; angles 39.58, 39.58, 39.58 degrees
Fractional positions:
Ba: 0.148 0.148 0.148
Ba: 0.852 0.852 0.852
Bi: 0.500 0.500 0.500
Pd: 0.000 0.500 0.500
Pd: 0.500 0.000 0.500
Pd: 0.500 0.500 0.000
Au: 0.083 0.083 0.696
Au: 0.083 0.696 0.083
Au: 0.131 0.575 0.575
Au: 0.304 0.917 0.917
Au: 0.425 0.425 0.869
Au: 0.425 0.869 0.425
Au: 0.575 0.131 0.575
Au: 0.575 0.575 0.131
Au: 0.696 0.083 0.083
Au: 0.869 0.425 0.425
Au: 0.917 0.304 0.917
Au: 0.917 0.917 0.304